A plane-wave DFT calculation with PBE was carried out for crystalline HfCuP2S at its relaxed geometry.

Output
E_form (uncorrected): 0.38 eV/atom
SG: P4/mmm
calculated density: 6.3 Mg/m³
total magnetization: 0.000 μB per cell
VASP energy: -0.3983 Ry/atom
ΔE to the lowest computed polymorph: 0.0 meV per atom

Lattice parameters (Å, degrees): 4.396 4.396 4.569 90.00 90.00 90.00
Atoms (fractional coordinates):
1 Hf 0.500 0.500 0.500
2 S 0.000 0.000 0.500
3 Cu 0.000 0.000 0.000
4 P 0.500 0.000 0.000
5 P 0.000 0.500 0.000